# 1
# K2FePd GGA-PBE relaxed
data_K2FePd
_chemical_formula_sum 'K8 Fe4 Pd4'
_space_group_name_H-M_alt 'F m -3 m'
_space_group_IT_number 225
_space_group_name_Hall '-F 4 2 3'
_cell_length_a 7.827
_cell_length_b 7.827
_cell_length_c 7.827
_cell_angle_alpha 90.00
_cell_angle_beta 90.00
_cell_angle_gamma 90.00
loop_
_atom_site_label
_atom_site_type_symbol
_atom_site_fract_x
_atom_site_fract_y
_atom_site_fract_z
_atom_site_occupancy
K1 K 0.250 0.250 0.250 1
Fe1 Fe 0.000 0.000 0.000 1
Pd1 Pd 0.000 0.000 0.500 1
# - energy relative to the elements (eV/atom) = 0.9234
# - calculated total energy (eV/atom) = -3.039
# - volume (Å³/atom) = 29.974

***

# 2
# KVFePd2 GGA-PBE relaxed
data_KVFePd2
_chemical_formula_sum 'K1 V1 Fe1 Pd2'
_space_group_name_H-M_alt 'P 4/m m m'
_space_group_IT_number 123
_space_group_name_Hall '-P 4 2'
_cell_length_a 4.943
_cell_length_b 4.943
_cell_length_c 4.062
_cell_angle_alpha 90.00
_cell_angle_beta 90.00
_cell_angle_gamma 90.00
loop_
_atom_site_label
_atom_site_type_symbol
_atom_site_fract_x
_atom_site_fract_y
_atom_site_fract_z
_atom_site_occupancy
K1 K 0.000 0.000 0.000 1
V1 V 0.500 0.500 0.000 1
Fe1 Fe 0.500 0.500 0.500 1
Pd1 Pd 0.000 0.500 0.500 1
# - energy relative to the elements (eV/atom) = 0.6899
# - calculated total energy (eV/atom) = -5.123
# - volume (Å³/atom) = 19.846

***

# 3
# KFePdW2 GGA-PBE relaxed
data_KFePdW2
_chemical_formula_sum 'K1 Fe1 Pd1 W2'
_space_group_name_H-M_alt 'P 4/m m m'
_space_group_IT_number 123
_space_group_name_Hall '-P 4 2'
_cell_length_a 4.469
_cell_length_b 4.469
_cell_length_c 5.126
_cell_angle_alpha 90.00
_cell_angle_beta 90.00
_cell_angle_gamma 90.00
loop_
_atom_site_label
_atom_site_type_symbol
_atom_site_fract_x
_atom_site_fract_y
_atom_site_fract_z
_atom_site_occupancy
K1 K 0.000 0.000 0.000 1
Fe1 Fe 0.500 0.500 0.500 1
Pd1 Pd 0.500 0.500 0.000 1
W1 W 0.000 0.500 0.500 1
# - energy relative to the elements (eV/atom) = 1.4450
# - calculated total energy (eV/atom) = -6.687
# - volume (Å³/atom) = 20.479

***

# 4
# KFePt3 GGA-PBE relaxed
data_KFePt3
_chemical_formula_sum 'K1 Fe1 Pt3'
_space_group_name_H-M_alt 'P m -3 m'
_space_group_IT_number 221
_space_group_name_Hall '-P 4 2 3'
_cell_length_a 4.750
_cell_length_b 4.750
_cell_length_c 4.750
_cell_angle_alpha 90.00
_cell_angle_beta 90.00
_cell_angle_gamma 90.00
loop_
_atom_site_label
_atom_site_type_symbol
_atom_site_fract_x
_atom_site_fract_y
_atom_site_fract_z
_atom_site_occupancy
K1 K 0.000 0.000 0.000 1
Fe1 Fe 0.500 0.500 0.500 1
Pt1 Pt 0.000 0.500 0.500 1
# - energy relative to the elements (eV/atom) = 0.5296
# - calculated total energy (eV/atom) = -5.007
# - volume (Å³/atom) = 21.437